1.
Below is a relaxed Pm4Sm3Zn crystal, with properties calculated at the GGA-PBE level.

Output
- Spin magnetization: 0.000 μB/cell
- Formation enthalpy at 0 K: -0.07 eV per atom

a b c (Å): 3.6516 3.6516 19.0767
angles (deg): 90.00 90.00 90.00
Closest atoms and distances in Å follow each position.
Space group P4/mmm (No. 123)
Symmetry-distinct sites (fractional):
Pm1 0.0000 0.0000 0.0953 (multiplicity 2)  4 Zn 3.16
Pm2 0.0000 0.0000 0.3654 (multiplicity 2)  8 Sm 3.63-3.64, 4 Pm 3.65
Sm1 0.5000 0.5000 0.2318 (multiplicity 2)  8 Pm 3.63-3.67, 4 Sm 3.65
Sm2 0.5000 0.5000 0.5000 (multiplicity 1)  8 Pm 3.64, 4 Sm 3.65
Zn1 0.5000 0.5000 0.0000 (multiplicity 1)  8 Pm 3.16



2.
Below is a relaxed FeP2Se crystal, with properties calculated at the GGA-PBE level.

Output
- E_form (uncorrected): 0.0459 eV per atom
- Spin magnetization: 0.000 μB/cell

a b c (Å): 6.9971 3.3678 6.4982
angles (deg): 90.00 108.95 90.00
Closest atoms and distances in Å follow each position.
Space group Cm (No. 8)
Symmetry-distinct sites (fractional):
Fe1 0.0000 0.0000 0.0000 (multiplicity 2)  3 P 2.16-2.26
P1 0.2729 0.0000 0.9135 (multiplicity 2)  1 P 2.05, 3 Fe 2.16-2.26
P2 0.4358 0.0000 0.7017 (multiplicity 2)  1 P 2.05
Se1 0.2503 0.5000 0.2326 (multiplicity 2)  3 Fe 2.54-2.66, 2 P 2.72